Here is an optimized crystal structure of CsCaZnTe from Alexandria. Energies are from PBE-GGA.

a b c (Å): 9.121 4.725 8.310
angles (deg): 90.00 107.85 90.00
Element x y z (fractional)
Ca 0.738 0.000 0.268
Ca 0.738 0.500 0.768
Zn 0.532 0.000 0.529
Zn 0.532 0.500 0.029
Te 0.905 0.000 0.655
Te 0.905 0.500 0.155
Cs 0.211 0.500 0.589
Cs 0.211 0.000 0.089

Output
Energy above the lowest structure with this stoichiometry   58 meV per atom
SG   Cm (8)
Final energy   -19.40 eV per cell



Here is an optimized crystal structure of LaY2Rh from Alexandria. Energies are from PBE-GGA.

a b c (Å): 3.930 3.930 9.530
angles (deg): 78.10 78.10 60.00
Element x y z (fractional)
Y 0.056 0.056 0.832
Y 0.276 0.276 0.171
Rh 0.666 0.666 0.001
La 0.502 0.502 0.495

Output
Energy above the lowest structure with this stoichiometry   155 meV per atom
SG   R3m (160)
Final energy   -26.57 eV per cell
Calculated formation energy   -0.341 eV/atom



Here is an optimized crystal structure of SbIrSe2N from Alexandria. Energies are from PBE-GGA.

a b c (Å): 5.184 5.184 3.694
angles (deg): 90.00 90.00 90.00
Element x y z (fractional)
N 0.000 0.000 0.500
Se 0.000 0.500 0.000
Se 0.500 0.000 0.000
Sb 0.500 0.500 0.500
Ir 0.000 0.000 0.000

Output
Energy above the lowest structure with this stoichiometry   0 meV per atom
SG   P4/mmm (123)
Final energy   -26.85 eV per cell



Here is an optimized crystal structure of Rb3Ce3RuSe8 from Alexandria. Energies are from PBE-GGA.

a b c (Å): 8.284 8.285 9.516
angles (deg): 115.84 90.00 120.00
Each line ends with the local moment (μB).
Element x y z (fractional)
Se 0.734 0.469 0.703  -0.02
Se 0.266 0.531 0.297  -0.02
Se 0.212 0.970 0.682  -0.02
Se 0.212 0.425 0.682  -0.02
Se 0.757 0.970 0.682  -0.02
Se 0.788 0.575 0.318  -0.02
Se 0.788 0.030 0.318  -0.02
Se 0.243 0.030 0.318  -0.02
Ce 0.000 0.500 0.500  0.49
Ce 0.500 0.500 0.500  0.49
Ce 0.500 0.000 0.500  0.49
Rb 0.000 0.500 0.000  0.00
Rb 0.500 0.500 0.000  0.00
Rb 0.000 0.000 0.000  0.00
Ru 0.000 0.000 0.500  -0.34

Output
SG   R-3m (166)
Final energy   -77.91 eV per cell



Here is an optimized crystal structure of GeTe2O2 from Alexandria. Energies are from PBE-GGA.

a b c (Å): 4.006 4.006 6.700
angles (deg): 72.60 72.60 90.00
Element x y z (fractional)
O 0.607 0.607 0.787
O 0.393 0.393 0.213
Te 0.750 0.250 0.500
Te 0.250 0.750 0.500
Ge 0.000 0.000 0.000

Output
Energy above the lowest structure with this stoichiometry   672 meV per atom
SG   I4/mmm (139)
Final energy   -17.49 eV per cell



Here is an optimized crystal structure of BaCaGeRh from Alexandria. Energies are from PBE-GGA.

a b c (Å): 4.352 4.352 8.423
angles (deg): 75.03 75.03 60.00
Element x y z (fractional)
Ca 0.010 0.010 0.969
Rh 0.268 0.268 0.195
Ge 0.604 0.604 0.189
Ba 0.843 0.843 0.470

Output
SG   R3m (160)
Final energy   -17.94 eV per cell
Calculated formation energy   -0.512 eV/atom



Here is an optimized crystal structure of PaGaNiN from Alexandria. Energies are from PBE-GGA.

a b c (Å): 4.008 4.008 7.765
angles (deg): 90.00 90.00 90.00
Element x y z (fractional)
N 0.500 0.500 0.500
N 0.000 0.000 0.500
Ga 0.500 0.000 0.162
Ga 0.000 0.500 0.838
Ni 0.500 0.500 0.000
Ni 0.000 0.000 0.000
Pa 0.500 0.000 0.645
Pa 0.000 0.500 0.355

Output
SG   P4/nmm (129)
Final energy   -60.90 eV per cell



Here is an optimized crystal structure of MgZr2O from Alexandria. Energies are from PBE-GGA.

a b c (Å): 4.679 4.679 4.679
angles (deg): 60.00 60.00 60.00
Element x y z (fractional)
Zr 0.250 0.250 0.250
Zr 0.750 0.750 0.750
Mg 0.500 0.500 0.500
O 0.000 0.000 0.000

Output
Energy above the lowest structure with this stoichiometry   1288 meV per atom
SG   Fm-3m (225)
Final energy   -23.11 eV per cell



Here is an optimized crystal structure of SbTe2AsRu from Alexandria. Energies are from PBE-GGA.

a b c (Å): 5.314 5.314 5.119
angles (deg): 90.00 90.00 90.00
Element x y z (fractional)
Ru 0.500 0.500 0.500
Sb 0.000 0.000 0.500
Te 0.500 0.000 0.000
Te 0.000 0.500 0.000
As 0.000 0.000 0.000

Output
Energy above the lowest structure with this stoichiometry   703 meV per atom
SG   P4/mmm (123)
Final energy   -17.74 eV per cell



Here is an optimized crystal structure of Pm4TlBi2 from Alexandria. Energies are from PBE-GGA.

a b c (Å): 6.248 6.805 10.822
angles (deg): 90.00 103.74 90.00
Element x y z (fractional)
Pm 0.462 0.488 0.742
Pm 0.538 0.512 0.258
Pm 0.147 0.750 0.459
Pm 0.462 0.012 0.742
Pm 0.971 0.250 0.148
Pm 0.029 0.750 0.852
Pm 0.538 0.988 0.258
Pm 0.853 0.250 0.541
Tl 0.062 0.750 0.171
Tl 0.938 0.250 0.829
Bi 0.405 0.250 0.001
Bi 0.703 0.750 0.548
Bi 0.297 0.250 0.452
Bi 0.595 0.750 0.999

Output
SG   P2_1/m (11)
Final energy   -64.80 eV per cell
Calculated formation energy   -0.467 eV/atom



Here is an optimized crystal structure of Er4HfGa15 from Alexandria. Energies are from PBE-GGA.

a b c (Å): 4.202 4.202 21.253
angles (deg): 90.00 90.00 90.00
Element x y z (fractional)
Ga 0.500 0.500 0.801
Ga 0.500 0.000 0.702
Ga 0.000 0.500 0.702
Ga 0.500 0.500 0.000
Ga 0.500 0.000 0.500
Ga 0.500 0.000 0.096
Ga 0.000 0.500 0.096
Ga 0.500 0.500 0.601
Ga 0.500 0.000 0.298
Ga 0.000 0.500 0.500
Ga 0.000 0.500 0.904
Ga 0.500 0.000 0.904
Ga 0.500 0.500 0.199
Ga 0.000 0.500 0.298
Ga 0.500 0.500 0.399
Er 0.000 0.000 0.601
Er 0.000 0.000 0.196
Er 0.000 0.000 0.804
Er 0.000 0.000 0.399
Hf 0.000 0.000 0.000

Output
SG   P4/mmm (123)
Final energy   -83.58 eV per cell
Calculated formation energy   -0.498 eV/atom